[1]
The following is a GGA-PBE calculation of an optimized crystal structure of CoTc2Rh, from the Alexandria database.

Cell: 6.059 6.059 6.059 Å, 90.00 90.00 90.00°
Space group Fm-3m (No. 225)
Inequivalent atoms, fractional coordinates:
Co  0.000  0.000  0.000 [4 per cell]
Tc  0.250  0.250  0.250 [8 per cell]
Rh  0.000  0.000  0.500 [4 per cell]

## Properties
As for the polymorph energy (0 for the lowest one): 0.4905 eV/atom. For the density of states at the Fermi level, the calculation gives 27.2 states/eV per cell. The calculation puts the calculated formation energy at 0.411 eV per atom. Its crystal system is cubic. As for the magnetic moment: 0.2977 μB/atom.



[2]
The following is a GGA-PBE calculation of an optimized crystal structure of FeW2Br, from the Alexandria database.

Cell: 3.121 3.121 6.741 Å, 90.00 90.00 90.00°
Space group P4mm (No. 99)
Inequivalent atoms, fractional coordinates:
Fe  0.000  0.000  0.000 [1 per cell]
W  0.000  0.000  0.432 [1 per cell]
W  0.500  0.500  0.202 [1 per cell]
Br  0.500  0.500  0.734 [1 per cell]

## Properties
As for the polymorph energy (0 for the lowest one): 0.1259 eV/atom. The value obtained for the formation energy (no corrections) is 0.6884 eV/atom. For the density of states at the Fermi level, the calculation gives 3.5 states/eV per cell. Its crystal system is tetragonal. As for the magnetic moment: 0.4045 μB/atom.



[3]
The following is a GGA-PBE calculation of an optimized crystal structure of LiLa2Zn3Pd4, from the Alexandria database.

Cell: 4.215 4.215 11.039 Å, 90.00 90.00 90.00°
Space group P-4m2 (No. 115)
Inequivalent atoms, fractional coordinates:
Li  0.000  0.000  0.000 [1 per cell]
La  0.000  0.500  0.744 [2 per cell]
Zn  0.000  0.500  0.370 [2 per cell]
Zn  0.500  0.500  0.000 [1 per cell]
Pd  0.000  0.000  0.500 [1 per cell]
Pd  0.000  0.500  0.140 [2 per cell]
Pd  0.500  0.500  0.500 [1 per cell]

## Properties
For the density of states at the Fermi level, the calculation gives 4.3 states/eV per cell. The calculation puts the calculated formation energy at -0.633 eV per atom. Its crystal system is tetragonal. As for the magnetic moment: 0.0000 μB/atom.



- Among the records above, which one has the highest magnetic moment?
  FeW2Br



- The lowest magnetic moment belongs to which entry?
  LiLa2Zn3Pd4



- Among the records above, which one has the lowest magnetic moment?
  LiLa2Zn3Pd4



- Which value of magnetic moment does entry 1 give?
  0.2977 μB/atom